Ti4BeZn3 | PBE | relaxed

abc: 3.0590 3.0590 12.6744
angles: 90.00 90.00 90.00
Space group P4/mmm (No. 123)
Asymmetric unit:
Ti1 0.0000 0.0000 0.1121 (multiplicity 2)
Ti2 0.0000 0.0000 0.3698 (multiplicity 2)
Be1 0.5000 0.5000 0.0000 (multiplicity 1)
Zn1 0.5000 0.5000 0.2404 (multiplicity 2)
Zn2 0.5000 0.5000 0.5000 (multiplicity 1)

***

Ti6BeZn5 | PBE | relaxed

abc: 4.4047 6.2278 13.1998
angles: 90.00 90.00 90.00
Space group Immm (No. 71)
Asymmetric unit:
Ti1 0.0000 0.2380 0.0000 (multiplicity 4)
Ti2 0.0000 0.2571 0.3385 (multiplicity 8)
Be1 0.0000 0.5000 0.5000 (multiplicity 2)
Zn1 0.0000 0.0000 0.1737 (multiplicity 4)
Zn2 0.0000 0.0000 0.5000 (multiplicity 2)
Zn3 0.0000 0.5000 0.1662 (multiplicity 4)

***

TiBe2Zn2 | PBE | relaxed

abc: 7.0622 7.0622 2.4741
angles: 90.00 90.00 90.00
Space group P4/mbm (No. 127)
Asymmetric unit:
Ti1 0.0000 0.0000 0.0000 (multiplicity 2)
Be1 0.1703 0.3297 0.5000 (multiplicity 4)
Zn1 0.1299 0.6299 0.0000 (multiplicity 4)

Energy relative to the lowest polymorph listed for this composition (kJ/mol of formula units): 9

***

Ti3Be2Zn2 | PBE | relaxed

abc: 3.9561 17.4134 2.8424
angles: 90.00 90.00 90.00
Space group Cmmm (No. 65)
Asymmetric unit:
Ti1 0.0000 0.0000 0.0000 (multiplicity 2)
Ti2 0.0000 0.1404 0.0000 (multiplicity 4)
Be1 0.0000 0.4304 0.5000 (multiplicity 4)
Zn1 0.0000 0.2901 0.5000 (multiplicity 4)

***

Ti2BeZn | PBE | relaxed

abc: 2.6384 4.4828 10.4694
angles: 90.00 90.00 90.00
Space group Immm (No. 71)
Asymmetric unit:
Ti1 0.0000 0.0000 0.2401 (multiplicity 4)
Be1 0.0000 0.0000 0.0000 (multiplicity 2)
Zn1 0.0000 0.0000 0.5000 (multiplicity 2)

***

TiBeZn | PBE | relaxed

abc: 2.7441 2.7441 10.3916
angles: 90.00 90.00 90.00
Space group I4mm (No. 107)
Asymmetric unit:
Ti1 0.0000 0.0000 0.0000 (multiplicity 2)
Be1 0.0000 0.0000 0.6627 (multiplicity 2)
Zn1 0.0000 0.0000 0.3015 (multiplicity 2)

Energy relative to the lowest polymorph listed for this composition (kJ/mol of formula units): 20

***

TiBe3Zn | PBE | relaxed

abc: 4.0020 4.0020 4.0020
angles: 90.00 90.00 90.00
Space group Pm-3m (No. 221)
Asymmetric unit:
Ti1 0.0000 0.0000 0.0000 (multiplicity 1)
Be1 0.0000 0.5000 0.5000 (multiplicity 3)
Zn1 0.5000 0.5000 0.5000 (multiplicity 1)

Energy relative to the lowest polymorph listed for this composition (kJ/mol of formula units): 0

***

Ti2Be16Zn | PBE | relaxed

abc: 7.4317 7.4317 10.8556
angles: 90.00 90.00 120.00
Space group R3m (No. 160, hexagonal axes)
Asymmetric unit:
Ti1 0.0000 0.0000 0.0000 (multiplicity 3)
Ti2 0.0000 0.0000 0.3202 (multiplicity 3)
Be1 0.0000 0.0000 0.5510 (multiplicity 3)
Be2 0.0001 0.3005 0.6570 (multiplicity 18)
Be3 0.0040 0.5020 0.8139 (multiplicity 9)
Be4 0.0075 0.5037 0.1573 (multiplicity 9)
Be5 0.1725 0.3450 0.8349 (multiplicity 9)
Zn1 0.0000 0.0000 0.7558 (multiplicity 3)

***

TiBeZn | PBE | relaxed

abc: 10.6625 3.6138 6.1193
angles: 90.00 90.00 90.00
Space group Pmma (No. 51)
Asymmetric unit:
Ti1 0.0358 0.0000 0.2269 (multiplicity 4)
Ti2 0.2500 0.0000 0.8717 (multiplicity 2)
Be1 0.0931 0.5000 0.9507 (multiplicity 4)
Be2 0.2500 0.0000 0.4435 (multiplicity 2)
Zn1 0.1199 0.5000 0.5700 (multiplicity 4)
Zn2 0.2500 0.5000 0.2049 (multiplicity 2)

Energy relative to the lowest polymorph listed for this composition (kJ/mol of formula units): 0

***

TiBe2Zn2 | PBE | relaxed

abc: 3.6935 3.6935 9.4843
angles: 90.00 90.00 90.00
Space group I4/mmm (No. 139)
Asymmetric unit:
Ti1 0.0000 0.0000 0.0000 (multiplicity 2)
Be1 0.0000 0.5000 0.2500 (multiplicity 4)
Zn1 0.0000 0.0000 0.3790 (multiplicity 4)

Energy relative to the lowest polymorph listed for this composition (kJ/mol of formula units): 32

***

Ti2Be9Zn | PBE | relaxed

abc: 4.4586 4.4586 21.5724
angles: 90.00 90.00 120.00
Space group R-3m (No. 166, hexagonal axes)
Asymmetric unit:
Ti1 0.0000 0.0000 0.1479 (multiplicity 6)
Be1 0.0000 0.0000 0.3344 (multiplicity 6)
Be2 0.0000 0.0000 0.5000 (multiplicity 3)
Be3 0.0012 0.5006 0.9174 (multiplicity 18)
Zn1 0.0000 0.0000 0.0000 (multiplicity 3)

***

TiBe3Zn | PBE | relaxed

abc: 4.4740 4.4740 4.4740
angles: 90.00 90.00 90.00
Space group Pm-3m (No. 221)
Asymmetric unit:
Ti1 0.0000 0.0000 0.0000 (multiplicity 1)
Be1 0.0000 0.0000 0.5000 (multiplicity 3)
Zn1 0.5000 0.5000 0.5000 (multiplicity 1)

Energy relative to the lowest polymorph listed for this composition (kJ/mol of formula units): 510

***

Ti4Be2Zn5 | PBE | relaxed

abc: 6.5917 2.8696 8.4463
angles: 90.00 92.79 90.00
Space group P2/m (No. 10)
Asymmetric unit:
Ti1 0.1494 0.0000 0.3742 (multiplicity 2)
Ti2 0.2596 0.0000 0.9488 (multiplicity 2)
Be1 0.0506 0.5000 0.1264 (multiplicity 2)
Zn1 0.1941 0.5000 0.6695 (multiplicity 2)
Zn2 0.4255 0.5000 0.1988 (multiplicity 2)
Zn3 0.5000 0.5000 0.5000 (multiplicity 1)

***

Ti12BeZn3 | PBE | relaxed

abc: 3.9927 3.9927 15.9403
angles: 90.00 90.00 90.00
Space group P4/mmm (No. 123)
Asymmetric unit:
Ti1 0.0000 0.0000 0.0000 (multiplicity 1)
Ti2 0.0000 0.0000 0.2466 (multiplicity 2)
Ti3 0.0000 0.0000 0.5000 (multiplicity 1)
Ti4 0.0000 0.5000 0.1191 (multiplicity 4)
Ti5 0.0000 0.5000 0.3733 (multiplicity 4)
Be1 0.5000 0.5000 0.0000 (multiplicity 1)
Zn1 0.5000 0.5000 0.2466 (multiplicity 2)
Zn2 0.5000 0.5000 0.5000 (multiplicity 1)

***

TiBe2Zn2 | PBE | relaxed

abc: 7.0109 7.0109 2.4776
angles: 90.00 90.00 90.00
Space group P4/mbm (No. 127)
Asymmetric unit:
Ti1 0.0000 0.0000 0.0000 (multiplicity 2)
Be1 0.1248 0.3752 0.0000 (multiplicity 4)
Zn1 0.1702 0.6702 0.5000 (multiplicity 4)

Energy relative to the lowest polymorph listed for this composition (kJ/mol of formula units): 0

***

Ti5BeZn4 | PBE | relaxed

abc: 3.0768 3.0768 15.8156
angles: 90.00 90.00 90.00
Space group P4/mmm (No. 123)
Asymmetric unit:
Ti1 0.0000 0.0000 0.0000 (multiplicity 1)
Ti2 0.0000 0.0000 0.2062 (multiplicity 2)
Ti3 0.0000 0.0000 0.4106 (multiplicity 2)
Be1 0.5000 0.5000 0.5000 (multiplicity 1)
Zn1 0.5000 0.5000 0.1029 (multiplicity 2)
Zn2 0.5000 0.5000 0.3089 (multiplicity 2)

***

Ti7Be2Zn2 | PBE | relaxed

abc: 6.4269 9.0681 6.1749
angles: 90.00 90.00 90.00
Space group Cmmm (No. 65)
Asymmetric unit:
Ti1 0.0000 0.0000 0.0000 (multiplicity 2)
Ti2 0.0000 0.5000 0.2475 (multiplicity 4)
Ti3 0.2500 0.2500 0.2689 (multiplicity 8)
Be1 0.0000 0.2856 0.0000 (multiplicity 4)
Zn1 0.1766 0.0000 0.5000 (multiplicity 4)

***

Ti2BeZn | PBE | relaxed

abc: 7.0332 7.0332 4.7501
angles: 90.00 90.00 90.00
Space group I-42d (No. 122)
Asymmetric unit:
Ti1 0.2355 0.2500 0.1250 (multiplicity 8)
Be1 0.0000 0.0000 0.0000 (multiplicity 4)
Zn1 0.0000 0.0000 0.5000 (multiplicity 4)

***

TiBeZn | PBE | relaxed

abc: 3.9815 3.9815 2.9208
angles: 90.00 90.00 120.00
Space group P-6m2 (No. 187)
Asymmetric unit:
Ti1 0.0000 0.0000 0.0000 (multiplicity 1)
Be1 0.6667 0.3333 0.5000 (multiplicity 1)
Zn1 0.3333 0.6667 0.5000 (multiplicity 1)

Energy relative to the lowest polymorph listed for this composition (kJ/mol of formula units): 13

***

Ti2BeZn2 | PBE | relaxed

abc: 2.6709 19.9089 2.7547
angles: 90.00 90.00 90.00
Space group Cmmm (No. 65)
Asymmetric unit:
Ti1 0.0000 0.0838 0.0000 (multiplicity 4)
Be1 0.0000 0.5000 0.5000 (multiplicity 2)
Zn1 0.0000 0.3086 0.5000 (multiplicity 4)

Energy relative to the lowest polymorph listed for this composition (kJ/mol of formula units): 0

***

Ti2BeZn2 | PBE | relaxed

abc: 6.0084 6.0084 4.0784
angles: 90.00 90.00 90.00
Space group P4/mbm (No. 127)
Asymmetric unit:
Ti1 0.1678 0.3322 0.0000 (multiplicity 4)
Be1 0.0000 0.0000 0.5000 (multiplicity 2)
Zn1 0.1430 0.6430 0.5000 (multiplicity 4)

Energy relative to the lowest polymorph listed for this composition (kJ/mol of formula units): 17

***

Ti2BeZn3 | PBE | relaxed

abc: 2.9045 4.1215 7.1959
angles: 90.00 90.00 90.00
Space group Pmm2 (No. 25)
Asymmetric unit:
Ti1 0.0000 0.0000 0.0000 (multiplicity 1)
Ti2 0.0000 0.5000 0.4721 (multiplicity 1)
Be1 0.5000 0.0000 0.3176 (multiplicity 1)
Zn1 0.5000 0.0000 0.6387 (multiplicity 1)
Zn2 0.5000 0.5000 0.1600 (multiplicity 1)
Zn3 0.5000 0.5000 0.8179 (multiplicity 1)

***

Ti4Be3Zn | PBE | relaxed

abc: 2.9651 2.9651 12.1475
angles: 90.00 90.00 90.00
Space group P4/mmm (No. 123)
Asymmetric unit:
Ti1 0.0000 0.0000 0.1188 (multiplicity 2)
Ti2 0.0000 0.0000 0.3592 (multiplicity 2)
Be1 0.5000 0.5000 0.0000 (multiplicity 1)
Be2 0.5000 0.5000 0.2379 (multiplicity 2)
Zn1 0.5000 0.5000 0.5000 (multiplicity 1)

***

TiBeZn | PBE | relaxed

abc: 9.9130 2.9736 6.7984
angles: 90.00 125.79 90.00
Space group Cm (No. 8)
Asymmetric unit:
Ti1 0.0000 0.0000 0.0000 (multiplicity 2)
Ti2 0.2026 0.0000 0.6586 (multiplicity 2)
Be1 0.2650 0.5000 0.3914 (multiplicity 2)
Be2 0.4595 0.0000 0.6579 (multiplicity 2)
Zn1 0.2238 0.5000 0.9993 (multiplicity 2)
Zn2 0.4525 0.0000 0.3069 (multiplicity 2)

Energy relative to the lowest polymorph listed for this composition (kJ/mol of formula units): 37

***

| no. | size of the total moment (μB per formula unit) | formation enthalpy at 0 K (kJ per mole of atoms) |
| --- | --- | --- |
| 1 | 0.000 | -15.6 |
| 2 | 0.000 | -15.5 |
| 3 | 0.000 | 3.1 |
| 4 | 0.005 | -3.4 |
| 5 | 0.000 | 55.6 |
| 6 | 0.426 | -10.1 |
| 7 | 0.000 | 54.7 |
| 8 | 0.000 | -17.5 |
| 9 | 0.000 | -16.9 |
| 10 | 0.000 | 7.6 |
| 11 | 1.942 | -1.9 |
| 12 | 1.550 | 156.7 |
| 13 | 1.207 | -11.3 |
| 14 | 0.000 | -8.0 |
| 15 | 0.000 | 1.3 |
| 16 | 0.000 | -15.9 |
| 17 | 0.043 | 24.1 |
| 18 | 0.000 | 26.3 |
| 19 | 0.000 | -12.4 |
| 20 | 0.390 | -7.0 |
| 21 | 0.000 | -3.6 |
| 22 | 0.003 | -14.1 |
| 23 | 0.000 | -14.0 |
| 24 | 0.000 | -4.4 |